(1)
The following is a DFT calculation (PBE-GGA) of a geometry-optimized Sc3Al3NiPd2 structure.

The structure in POSCAR format:
```
Sc3Al3NiPd2
1.0
6.9677 0.0000 0.0000
-3.4838 6.0342 0.0000
0.0000 0.0000 3.6766
Sc Al Ni Pd
3 3 1 2
direct
0.0000 0.5946 0.0000 Sc
0.4054 0.4054 0.0000 Sc
0.5946 0.0000 0.0000 Sc
0.0000 0.2405 0.5000 Al
0.2405 0.0000 0.5000 Al
0.7595 0.7595 0.5000 Al
0.0000 0.0000 0.0000 Ni
0.3333 0.6667 0.5000 Pd
0.6667 0.3333 0.5000 Pd
```

Values from the calculation:
The total magnetization comes out at 0.0 μB/cell. As for the total energy: -53.3 eV/cell.

***

(2)
The following is a DFT calculation (PBE-GGA) of a geometry-optimized SmAl5NiPd structure.

The structure in POSCAR format:
```
SmAl5NiPd
1.0
-2.0083 3.6063 4.8650
2.0083 -3.6063 4.8650
2.0083 3.6063 -4.8650
Sm Al Ni Pd
1 5 1 1
direct
0.0000 0.0000 0.0000 Sm
0.1574 0.3548 0.8025 Al
0.4776 0.6613 0.8163 Al
0.5128 0.0128 0.5000 Al
0.5523 0.3548 0.1975 Al
0.8450 0.6613 0.1837 Al
0.7493 0.2493 0.5000 Ni
0.2641 0.7641 0.5000 Pd
```

Values from the calculation:
The total magnetization comes out at 0.0 μB/cell. As for the total energy: -39.3 eV/cell.

***

(3)
The following is a DFT calculation (PBE-GGA) of a geometry-optimized SrAl5NiPd structure.

The structure in POSCAR format:
```
SrAl5NiPd
1.0
-2.0303 3.6452 4.9733
2.0303 -3.6452 4.9733
2.0303 3.6452 -4.9733
Sr Al Ni Pd
1 5 1 1
direct
0.0000 0.0000 0.0000 Sr
0.1561 0.3385 0.8176 Al
0.4557 0.6532 0.8026 Al
0.4909 0.9909 0.5000 Al
0.5209 0.3385 0.1824 Al
0.8506 0.6532 0.1974 Al
0.2605 0.7605 0.5000 Ni
0.7337 0.2337 0.5000 Pd
```

Values from the calculation:
The total magnetization comes out at 0.0 μB/cell. As for the total energy: -35.6 eV/cell.

***

(4)
The following is a DFT calculation (PBE-GGA) of a geometry-optimized Sr2Al4NiPd structure.

The structure in POSCAR format:
```
Sr2Al4NiPd
1.0
7.3738 0.0000 0.0000
0.0000 2.0929 5.6803
0.0000 -2.0929 5.6803
Sr Al Ni Pd
2 4 1 1
direct
0.0000 0.0000 0.0000 Sr
0.5000 0.0907 0.0907 Sr
0.1806 0.7237 0.7237 Al
0.2994 0.3618 0.3618 Al
0.7006 0.3618 0.3618 Al
0.8194 0.7237 0.7237 Al
0.0000 0.2651 0.2651 Ni
0.5000 0.8202 0.8202 Pd
```

Values from the calculation:
The total magnetization comes out at 0.0 μB/cell. As for the total energy: -33.3 eV/cell.

***

(5)
The following is a DFT calculation (PBE-GGA) of a geometry-optimized TaAlNiPd structure.

The structure in POSCAR format:
```
TaAlNiPd
1.0
0.0000 3.0886 3.0886
3.0886 0.0000 3.0886
3.0886 3.0886 0.0000
Ta Al Ni Pd
1 1 1 1
direct
0.0000 0.0000 0.0000 Ta
0.5000 0.5000 0.5000 Al
0.7500 0.7500 0.7500 Ni
0.2500 0.2500 0.2500 Pd
```

Values from the calculation:
The total magnetization comes out at 0.0 μB/cell. Its distance to the lowest polymorph of the same formula is 0.0000 eV/atom.

***

(6)
The following is a DFT calculation (PBE-GGA) of a geometry-optimized Ta2Al2NiPd structure.

The structure in POSCAR format:
```
Ta2Al2NiPd
1.0
7.2413 0.0000 0.0000
0.0000 4.1685 0.0000
-2.3590 0.0000 13.6395
Ta Al Ni Pd
8 8 4 4
direct
0.0000 0.0000 0.0000 Ta
0.0092 0.5000 0.4936 Ta
0.2352 0.0000 0.7369 Ta
0.2477 0.5000 0.2423 Ta
0.4823 0.0000 0.4845 Ta
0.5002 0.5000 0.9997 Ta
0.7438 0.0000 0.2364 Ta
0.7585 0.5000 0.7400 Ta
0.1226 0.0000 0.3628 Al
0.1234 0.5000 0.8634 Al
0.3683 0.5000 0.6134 Al
0.3722 0.0000 0.1230 Al
0.6161 0.5000 0.3633 Al
0.6204 0.0000 0.8655 Al
0.8753 0.0000 0.6150 Al
0.8761 0.5000 0.1235 Al
0.0602 0.5000 0.6770 Ni
0.0605 0.0000 0.1814 Ni
0.3066 0.5000 0.4261 Ni
0.5590 0.5000 0.1804 Ni
0.3093 0.0000 0.9310 Pd
0.5585 0.0000 0.6760 Pd
0.8094 0.0000 0.4274 Pd
0.8121 0.5000 0.9321 Pd
```

Values from the calculation:
The total magnetization comes out at 0.0 μB/cell. As for the total energy: -174.8 eV/cell.

***

(7)
The following is a DFT calculation (PBE-GGA) of a geometry-optimized TaAlNiPd structure.

The structure in POSCAR format:
```
TaAlNiPd
1.0
0.0000 3.0884 3.0884
3.0884 0.0000 3.0884
3.0884 3.0884 0.0000
Ta Al Ni Pd
1 1 1 1
direct
0.0000 0.0000 0.0000 Ta
0.2500 0.2500 0.2500 Al
0.5000 0.5000 0.5000 Ni
0.7500 0.7500 0.7500 Pd
```

Values from the calculation:
The total magnetization comes out at 0.0 μB/cell. Its distance to the lowest polymorph of the same formula is 0.2115 eV/atom.

***

(8)
The following is a DFT calculation (PBE-GGA) of a geometry-optimized Y2Al4NiPd structure.

The structure in POSCAR format:
```
Y2Al4NiPd
1.0
6.9389 0.0000 0.0000
0.0000 2.0781 5.1309
0.0000 -2.0781 5.1309
Y Al Ni Pd
2 4 1 1
direct
0.0000 0.0000 0.0000 Y
0.5000 0.1292 0.1292 Y
0.1890 0.7142 0.7142 Al
0.2957 0.4115 0.4115 Al
0.7043 0.4115 0.4115 Al
0.8110 0.7142 0.7142 Al
0.0000 0.2770 0.2770 Ni
0.5000 0.8495 0.8495 Pd
```

Values from the calculation:
The total magnetization comes out at 0.0 μB/cell. As for the total energy: -44.4 eV/cell.

***

(9)
The following is a DFT calculation (PBE-GGA) of a geometry-optimized ZrAlNiPd structure.

The structure in POSCAR format:
```
ZrAlNiPd
1.0
4.2148 0.0000 0.0000
-2.1074 3.6501 0.0000
0.0000 0.0000 8.3230
Zr Al Ni Pd
2 2 2 2
direct
0.3333 0.6667 0.0000 Zr
0.6667 0.3333 0.5000 Zr
0.0000 0.0000 0.2358 Al
0.0000 0.0000 0.7358 Al
0.3333 0.6667 0.6655 Ni
0.6667 0.3333 0.1655 Ni
0.3333 0.6667 0.3349 Pd
0.6667 0.3333 0.8349 Pd
```

Values from the calculation:
The total magnetization comes out at 0.0 μB/cell. Its distance to the lowest polymorph of the same formula is 0.0145 eV/atom.

***

(10)
The following is a DFT calculation (PBE-GGA) of a geometry-optimized ZrAl5NiPd structure.

The structure in POSCAR format:
```
ZrAl5NiPd
1.0
-2.0336 2.0336 7.4461
2.0336 -2.0336 7.4461
2.0336 2.0336 -7.4461
Zr Al Ni Pd
1 5 1 1
direct
0.0000 0.0000 0.0000 Zr
0.1431 0.6431 0.5000 Al
0.3581 0.8581 0.5000 Al
0.5021 0.5021 0.0000 Al
0.6431 0.1431 0.5000 Al
0.8581 0.3581 0.5000 Al
0.7641 0.7641 0.0000 Ni
0.2417 0.2417 0.0000 Pd
```

Values from the calculation:
The total magnetization comes out at 0.0 μB/cell. As for the total energy: -43.1 eV/cell.

***

(11)
The following is a DFT calculation (PBE-GGA) of a geometry-optimized ZrAlNiPd structure.

The structure in POSCAR format:
```
ZrAlNiPd
1.0
4.1946 0.0000 0.0000
-2.0973 3.6327 0.0000
0.0000 0.0000 8.3593
Zr Al Ni Pd
2 2 2 2
direct
0.0000 0.0000 0.0000 Zr
0.3333 0.6667 0.5000 Zr
0.6667 0.3333 0.2698 Al
0.6667 0.3333 0.7302 Al
0.0000 0.0000 0.3389 Ni
0.0000 0.0000 0.6611 Ni
0.3333 0.6667 0.1692 Pd
0.3333 0.6667 0.8308 Pd
```

Values from the calculation:
The total magnetization comes out at 0.0 μB/cell. Its distance to the lowest polymorph of the same formula is 0.0166 eV/atom.

***

(12)
The following is a DFT calculation (PBE-GGA) of a geometry-optimized ZrAlNiPd structure.

The structure in POSCAR format:
```
ZrAlNiPd
1.0
0.0000 3.1544 3.1544
3.1544 0.0000 3.1544
3.1544 3.1544 0.0000
Zr Al Ni Pd
1 1 1 1
direct
0.0000 0.0000 0.0000 Zr
0.5000 0.5000 0.5000 Al
0.7500 0.7500 0.7500 Ni
0.2500 0.2500 0.2500 Pd
```

Values from the calculation:
The total magnetization comes out at 0.0 μB/cell. Its distance to the lowest polymorph of the same formula is 0.0429 eV/atom.

***

(13)
The following is a DFT calculation (PBE-GGA) of a geometry-optimized ZrAlNiPd structure.

The structure in POSCAR format:
```
ZrAlNiPd
1.0
4.2109 0.0000 0.0000
-2.1055 3.6468 0.0000
0.0000 0.0000 8.3578
Zr Al Ni Pd
2 2 2 2
direct
0.3333 0.6667 0.2323 Zr
0.6667 0.3333 0.7677 Zr
0.0000 0.0000 0.0000 Al
0.0000 0.0000 0.5000 Al
0.3333 0.6667 0.9209 Ni
0.6667 0.3333 0.0791 Ni
0.3333 0.6667 0.5919 Pd
0.6667 0.3333 0.4081 Pd
```

Values from the calculation:
The total magnetization comes out at 0.0 μB/cell. Its distance to the lowest polymorph of the same formula is 0.0000 eV/atom.

***

(14)
The following is a DFT calculation (PBE-GGA) of a geometry-optimized PmAlNi structure.

The structure in POSCAR format:
```
PmAlNi
1.0
0.0000 3.1819 3.1819
3.1819 0.0000 3.1819
3.1819 3.1819 0.0000
Pm Al Ni
1 1 1
direct
0.0000 0.0000 0.0000 Pm
0.5000 0.5000 0.5000 Al
0.7500 0.7500 0.7500 Ni
```

Values from the calculation:
The total magnetization comes out at 0.3 μB/cell. Its distance to the lowest polymorph of the same formula is 0.0000 eV/atom.

***

(15)
The following is a DFT calculation (PBE-GGA) of a geometry-optimized PmAl5Ni2 structure.

The structure in POSCAR format:
```
PmAl5Ni2
1.0
-1.9831 3.5166 4.7931
1.9831 -3.5166 4.7931
1.9831 3.5166 -4.7931
Pm Al Ni
1 5 2
direct
0.0000 0.0000 0.0000 Pm
0.1523 0.3423 0.8099 Al
0.4676 0.6577 0.8099 Al
0.5000 0.0000 0.5000 Al
0.5324 0.3423 0.1901 Al
0.8477 0.6577 0.1901 Al
0.2606 0.7606 0.5000 Ni
0.7394 0.2394 0.5000 Ni
```

Values from the calculation:
The total magnetization comes out at 0.0 μB/cell. As for the total energy: -39.3 eV/cell.

***

(16)
The following is a DFT calculation (PBE-GGA) of a geometry-optimized Pm3Al2Ni4 structure.

The structure in POSCAR format:
```
Pm3Al2Ni4
1.0
5.0430 -2.0749 0.0000
5.0430 2.0749 0.0000
-1.2340 0.0000 8.1915
Pm Al Ni
3 2 4
direct
0.0000 0.0000 0.0000 Pm
0.3755 0.3755 0.6197 Pm
0.6245 0.6245 0.3803 Pm
0.3217 0.3217 0.2126 Al
0.6783 0.6783 0.7874 Al
0.0850 0.0850 0.6366 Ni
0.2636 0.2636 0.9135 Ni
0.7364 0.7364 0.0865 Ni
0.9150 0.9150 0.3634 Ni
```

Values from the calculation:
The total magnetization comes out at 0.0 μB/cell. As for the total energy: -48.6 eV/cell.

***

(17)
The following is a DFT calculation (PBE-GGA) of a geometry-optimized PmAlNi structure.

The structure in POSCAR format:
```
PmAlNi
1.0
0.0000 3.2815 3.2815
3.2815 0.0000 3.2815
3.2815 3.2815 0.0000
Pm Al Ni
1 1 1
direct
0.0000 0.0000 0.0000 Pm
0.7500 0.7500 0.7500 Al
0.2500 0.2500 0.2500 Ni
```

Values from the calculation:
The total magnetization comes out at 0.0 μB/cell. Its distance to the lowest polymorph of the same formula is 0.7627 eV/atom.

***

(18)
The following is a DFT calculation (PBE-GGA) of a geometry-optimized PrAl2Ni2 structure.

The structure in POSCAR format:
```
PrAl2Ni2
1.0
-2.0347 2.0347 5.2901
2.0347 -2.0347 5.2901
2.0347 2.0347 -5.2901
Pr Al Ni
1 2 2
direct
0.0000 0.0000 0.0000 Pr
0.2500 0.7500 0.5000 Al
0.7500 0.2500 0.5000 Al
0.3835 0.3835 0.0000 Ni
0.6165 0.6165 0.0000 Ni
```

Values from the calculation:
The total magnetization comes out at 0.0 μB/cell. Its distance to the lowest polymorph of the same formula is 0.0000 eV/atom.

***

(19)
The following is a DFT calculation (PBE-GGA) of a geometry-optimized PrAlNi structure.

The structure in POSCAR format:
```
PrAlNi
1.0
7.0677 0.0000 0.0000
-3.5338 6.1208 0.0000
0.0000 0.0000 4.0909
Pr Al Ni
3 3 3
direct
0.0000 0.5810 0.0000 Pr
0.4190 0.4190 0.0000 Pr
0.5810 0.0000 0.0000 Pr
0.0000 0.2269 0.5000 Al
0.2269 0.0000 0.5000 Al
0.7731 0.7731 0.5000 Al
0.0000 0.0000 0.0000 Ni
0.3333 0.6667 0.5000 Ni
0.6667 0.3333 0.5000 Ni
```

Values from the calculation:
The total magnetization comes out at 0.0 μB/cell. As for the total energy: -46.7 eV/cell.

***

(20)
The following is a DFT calculation (PBE-GGA) of a geometry-optimized PrAl2Ni2 structure.

The structure in POSCAR format:
```
PrAl2Ni2
1.0
-2.1216 2.1216 4.9311
2.1216 -2.1216 4.9311
2.1216 2.1216 -4.9311
Pr Al Ni
1 2 2
direct
0.0000 0.0000 0.0000 Pr
0.3614 0.3614 0.0000 Al
0.6386 0.6386 0.0000 Al
0.2500 0.7500 0.5000 Ni
0.7500 0.2500 0.5000 Ni
```

Values from the calculation:
The total magnetization comes out at 0.0 μB/cell. Its distance to the lowest polymorph of the same formula is 0.0533 eV/atom.

***

(21)
The following is a DFT calculation (PBE-GGA) of a geometry-optimized PrAl2Ni2 structure.

The structure in POSCAR format:
```
PrAl2Ni2
1.0
4.2352 0.0000 0.0000
0.0000 4.2352 0.0000
0.0000 0.0000 9.6967
Pr Al Ni
2 4 4
direct
0.2500 0.2500 0.2424 Pr
0.7500 0.7500 0.7576 Pr
0.2500 0.2500 0.8805 Al
0.2500 0.7500 0.5000 Al
0.7500 0.2500 0.5000 Al
0.7500 0.7500 0.1195 Al
0.2500 0.2500 0.6293 Ni
0.2500 0.7500 0.0000 Ni
0.7500 0.2500 0.0000 Ni
0.7500 0.7500 0.3707 Ni
```

Values from the calculation:
The total magnetization comes out at 0.0 μB/cell. Its distance to the lowest polymorph of the same formula is 0.0037 eV/atom.

***

(22)
The following is a DFT calculation (PBE-GGA) of a geometry-optimized PrAlNi structure.

The structure in POSCAR format:
```
PrAlNi
1.0
6.8052 0.0000 0.0000
-3.4026 5.8935 0.0000
0.0000 0.0000 4.4850
Pr Al Ni
3 3 3
direct
0.0000 0.5559 0.0000 Pr
0.4441 0.4441 0.0000 Pr
0.5559 0.0000 0.0000 Pr
0.0000 0.0000 0.0000 Al
0.3333 0.6667 0.5000 Al
0.6667 0.3333 0.5000 Al
0.0000 0.2229 0.5000 Ni
0.2229 0.0000 0.5000 Ni
0.7771 0.7771 0.5000 Ni
```

Values from the calculation:
The total magnetization comes out at 0.0 μB/cell. As for the total energy: -44.4 eV/cell.

***

(23)
The following is a DFT calculation (PBE-GGA) of a geometry-optimized PrAlNi structure.

The structure in POSCAR format:
```
PrAlNi
1.0
8.3340 0.0000 0.0000
-4.1670 7.2174 0.0000
0.0000 0.0000 3.0498
Pr Al Ni
3 3 3
direct
0.0000 0.3029 0.0000 Pr
0.3029 0.0000 0.0000 Pr
0.6971 0.6971 0.0000 Pr
0.0000 0.0000 0.5000 Al
0.3333 0.6667 0.0000 Al
0.6667 0.3333 0.0000 Al
0.0000 0.6178 0.5000 Ni
0.3822 0.3822 0.5000 Ni
0.6178 0.0000 0.5000 Ni
```

Values from the calculation:
The total magnetization comes out at 0.0 μB/cell. As for the total energy: -41.1 eV/cell.

***

(24)
The following is a DFT calculation (PBE-GGA) of a geometry-optimized Pr3AlNiS7 structure.

The structure in POSCAR format:
```
Pr3AlNiS7
1.0
9.9485 0.0000 0.0000
-4.9742 8.6156 0.0000
0.0000 0.0000 6.2045
Pr Al Ni S
6 2 2 14
direct
0.1495 0.3744 0.0000 Pr
0.2250 0.8505 0.0000 Pr
0.3744 0.2250 0.5000 Pr
0.6256 0.7750 0.0000 Pr
0.7750 0.1495 0.5000 Pr
0.8505 0.6256 0.5000 Pr
0.3333 0.6667 0.4240 Al
0.6667 0.3333 0.9240 Al
0.0000 0.0000 0.3141 Ni
0.0000 0.0000 0.8141 Ni
0.0914 0.2245 0.5774 S
0.0950 0.5740 0.2784 S
0.1331 0.9086 0.5774 S
0.2245 0.1331 0.0774 S
0.3333 0.6667 0.7838 S
0.4260 0.5210 0.2784 S
0.4790 0.9050 0.2784 S
0.5210 0.0950 0.7784 S
0.5740 0.4790 0.7784 S
0.6667 0.3333 0.2838 S
0.7755 0.8669 0.5774 S
0.8669 0.0914 0.0774 S
0.9050 0.4260 0.7784 S
0.9086 0.7755 0.0774 S
```

Values from the calculation:
The total magnetization comes out at 4.0 μB/cell. As for the total energy: -142.5 eV/cell.